1.
KTcRu2 | PBE | optimized geometry

## Properties
The calculation puts the polymorph energy (0 for the lowest one) at 28 kJ/mol of formula units. The calculation puts the density of states at the Fermi level at 1.10 states/eV/atom. The total magnetization comes out at 0.000 μB/atom. The calculation puts the total energy at -6.7835 eV per atom.

abc: 2.723 3.783 7.890
angles: 90.00 90.00 90.00
Space group Pmmm (No. 47)
Symmetry-distinct sites (fractional):
K 0.000 0.000 0.000 x1
Tc 0.000 0.000 0.500 x1
Ru 0.500 0.500 0.341 x2


2.
K2NaBeAs2 | PBE | optimized geometry

## Properties
The calculation puts the density of states at the Fermi level at 0.86 states/eV/atom. The total magnetization comes out at 0.081 μB/atom. The calculation puts the total energy at -3.0632 eV per atom.

abc: 6.939 14.617 6.265
angles: 90.00 90.00 90.00
Space group Ibam (No. 72)
Symmetry-distinct sites (fractional):
K 0.243 0.172 0.000 x8
Na 0.000 0.500 0.250 x4
Be 0.000 0.000 0.250 x4
As 0.188 0.085 0.500 x8